No. 1
# GGA-PBE Tb2Sm3Ho8, optimized geometry
data_Tb2Sm3Ho8
_cell_length_a 5.605
_cell_length_b 7.656
_cell_length_c 10.776
_cell_angle_alpha 110.81
_cell_angle_beta 90.01
_cell_angle_gamma 90.00
_symmetry_space_group_name_H-M 'P 1'
_symmetry_Int_Tables_number 1
_symmetry_space_group_name_Hall 'P 1'
loop_
_atom_site_label
_atom_site_type_symbol
_atom_site_fract_x
_atom_site_fract_y
_atom_site_fract_z
_atom_site_occupancy
Tb1 Tb 0.500 0.241 0.483 1
Tb2 Tb 0.500 0.759 0.517 1
Sm1 Sm 0.500 0.000 0.000 1
Sm2 Sm 0.000 0.290 0.000 1
Sm3 Sm 0.000 0.710 0.000 1
Ho1 Ho 0.000 0.669 0.339 1
Ho2 Ho 0.000 0.331 0.661 1
Ho3 Ho 0.000 0.134 0.268 1
Ho4 Ho 0.000 0.866 0.732 1
Ho5 Ho 0.500 0.601 0.782 1
Ho6 Ho 0.500 0.181 0.782 1
Ho7 Ho 0.500 0.819 0.218 1
Ho8 Ho 0.500 0.399 0.218 1
# Space group   Cmmm (65)
# Crystal system   orthorhombic
# Energy of formation from the pure elements   3.221 eV per formula unit
# Total DFT energy (no corrections)   -56.82 eV per cell
# V   33.3 Å³ per atom

=====

No. 2
# GGA-PBE La2Tb5Sm6, optimized geometry
data_La2Tb5Sm6
_cell_length_a 3.647
_cell_length_b 11.869
_cell_length_c 20.562
_cell_angle_alpha 90.00
_cell_angle_beta 90.00
_cell_angle_gamma 90.00
_symmetry_space_group_name_H-M 'P 1'
_symmetry_Int_Tables_number 1
_symmetry_space_group_name_Hall 'P 1'
loop_
_atom_site_label
_atom_site_type_symbol
_atom_site_fract_x
_atom_site_fract_y
_atom_site_fract_z
_atom_site_occupancy
La1 La 0.000 0.331 0.281 1
La2 La 0.000 0.669 0.719 1
La3 La 0.000 0.831 0.219 1
La4 La 0.000 0.169 0.781 1
Tb1 Tb 0.500 0.300 0.445 1
Tb2 Tb 0.500 0.700 0.555 1
Tb3 Tb 0.500 0.800 0.055 1
Tb4 Tb 0.500 0.200 0.945 1
Tb5 Tb 0.500 0.592 0.280 1
Tb6 Tb 0.500 0.408 0.720 1
Tb7 Tb 0.500 0.092 0.220 1
Tb8 Tb 0.500 0.908 0.780 1
Tb9 Tb 0.500 0.500 0.000 1
Tb10 Tb 0.500 0.000 0.500 1
Sm1 Sm 0.000 0.078 0.363 1
Sm2 Sm 0.000 0.922 0.637 1
Sm3 Sm 0.000 0.578 0.137 1
Sm4 Sm 0.000 0.422 0.863 1
Sm5 Sm 0.500 0.321 0.124 1
Sm6 Sm 0.500 0.679 0.876 1
Sm7 Sm 0.500 0.821 0.376 1
Sm8 Sm 0.500 0.179 0.624 1
Sm9 Sm 0.000 0.560 0.424 1
Sm10 Sm 0.000 0.440 0.576 1
Sm11 Sm 0.000 0.060 0.076 1
Sm12 Sm 0.000 0.940 0.924 1
# Space group   Pbam (55)
# Crystal system   orthorhombic
# Energy of formation from the pure elements   1.276 eV per formula unit
# Total DFT energy (no corrections)   -120.09 eV per cell
# V   34.2 Å³ per atom

=====

No. 3
# GGA-PBE CePa2FeN5, optimized geometry
data_CePa2FeN5
_cell_length_a 6.550
_cell_length_b 6.550
_cell_length_c 7.204
_cell_angle_alpha 117.04
_cell_angle_beta 117.04
_cell_angle_gamma 90.00
_symmetry_space_group_name_H-M 'P 1'
_symmetry_Int_Tables_number 1
_symmetry_space_group_name_Hall 'P 1'
loop_
_atom_site_label
_atom_site_type_symbol
_atom_site_fract_x
_atom_site_fract_y
_atom_site_fract_z
_atom_site_occupancy
Ce1 Ce 0.250 0.250 0.500 1
Ce2 Ce 0.750 0.750 0.500 1
Pa1 Pa 0.170 0.330 0.000 1
Pa2 Pa 0.670 0.170 0.000 1
Pa3 Pa 0.330 0.830 0.000 1
Pa4 Pa 0.830 0.670 0.000 1
Fe1 Fe 0.250 0.750 0.500 1
Fe2 Fe 0.750 0.250 0.500 1
N1 N 0.981 0.481 0.272 1
N2 N 0.710 0.210 0.728 1
N3 N 0.019 0.519 0.728 1
N4 N 0.210 0.019 0.728 1
N5 N 0.519 0.710 0.728 1
N6 N 0.790 0.981 0.272 1
N7 N 0.481 0.290 0.272 1
N8 N 0.290 0.790 0.272 1
N9 N 0.500 0.500 0.000 1
N10 N 0.000 0.000 0.000 1
# E_form (uncorrected)   -1.253 eV/atom
# Space group   I4/mcm (140)
# Crystal system   tetragonal
# Total DFT energy (no corrections)   -172.58 eV per cell
# V   13.2 Å³ per atom

=====

No. 4
# GGA-PBE Tl2In2Bi3, optimized geometry
data_Tl2In2Bi3
_cell_length_a 3.350
_cell_length_b 5.642
_cell_length_c 11.957
_cell_angle_alpha 104.04
_cell_angle_beta 90.00
_cell_angle_gamma 90.00
_symmetry_space_group_name_H-M 'P 1'
_symmetry_Int_Tables_number 1
_symmetry_space_group_name_Hall 'P 1'
loop_
_atom_site_label
_atom_site_type_symbol
_atom_site_fract_x
_atom_site_fract_y
_atom_site_fract_z
_atom_site_occupancy
Tl1 Tl 0.500 0.138 0.280 1
Tl2 Tl 0.500 0.862 0.720 1
In1 In 0.000 0.426 0.853 1
In2 In 0.000 0.574 0.147 1
Bi1 Bi 0.000 0.286 0.571 1
Bi2 Bi 0.000 0.000 0.000 1
Bi3 Bi 0.000 0.714 0.429 1
# Space group   P2/m (10)
# Crystal system   monoclinic
# Energy of formation from the pure elements   0.083 eV per formula unit
# Total DFT energy (no corrections)   -21.77 eV per cell
# V   31.3 Å³ per atom

=====

No. 5
# GGA-PBE BaInFe, optimized geometry
data_BaInFe
_cell_length_a 5.052
_cell_length_b 5.052
_cell_length_c 5.052
_cell_angle_alpha 60.00
_cell_angle_beta 60.00
_cell_angle_gamma 60.00
_symmetry_space_group_name_H-M 'P 1'
_symmetry_Int_Tables_number 1
_symmetry_space_group_name_Hall 'P 1'
loop_
_atom_site_label
_atom_site_type_symbol
_atom_site_fract_x
_atom_site_fract_y
_atom_site_fract_z
_atom_site_occupancy
Ba1 Ba 0.500 0.500 0.500 1
Fe1 Fe 0.250 0.250 0.250 1
In1 In 0.000 0.000 0.000 1
# Space group   F-43m (216)
# Crystal system   cubic
# Energy of formation from the pure elements   1.487 eV per formula unit
# Total DFT energy (no corrections)   -11.64 eV per cell
# V   30.4 Å³ per atom

=====

No. 6
# GGA-PBE CaGdPd2, optimized geometry
data_CaGdPd2
_cell_length_a 3.533
_cell_length_b 3.533
_cell_length_c 7.123
_cell_angle_alpha 90.00
_cell_angle_beta 90.00
_cell_angle_gamma 90.00
_symmetry_space_group_name_H-M 'P 1'
_symmetry_Int_Tables_number 1
_symmetry_space_group_name_Hall 'P 1'
loop_
_atom_site_label
_atom_site_type_symbol
_atom_site_fract_x
_atom_site_fract_y
_atom_site_fract_z
_atom_site_occupancy
Ca1 Ca 0.500 0.500 0.500 1
Gd1 Gd 0.500 0.500 0.000 1
Pd1 Pd 0.000 0.000 0.768 1
Pd2 Pd 0.000 0.000 0.232 1
# Space group   P4/mmm (123)
# Crystal system   tetragonal
# Energy of formation from the pure elements   -3.167 eV per formula unit
# Total DFT energy (no corrections)   -29.63 eV per cell
# V   22.2 Å³ per atom

=====

No. 7
# GGA-PBE ReHgO4, optimized geometry
data_ReHgO4
_cell_length_a 5.601
_cell_length_b 5.903
_cell_length_c 15.382
_cell_angle_alpha 70.01
_cell_angle_beta 90.00
_cell_angle_gamma 90.00
_symmetry_space_group_name_H-M 'P 1'
_symmetry_Int_Tables_number 1
_symmetry_space_group_name_Hall 'P 1'
loop_
_atom_site_label
_atom_site_type_symbol
_atom_site_fract_x
_atom_site_fract_y
_atom_site_fract_z
_atom_site_occupancy
Re1 Re 0.591 0.155 0.345 1
Re2 Re 0.409 0.845 0.655 1
Re3 Re 0.091 0.845 0.155 1
Re4 Re 0.909 0.155 0.845 1
Hg1 Hg 0.353 0.635 0.939 1
Hg2 Hg 0.147 0.635 0.439 1
Hg3 Hg 0.853 0.365 0.561 1
Hg4 Hg 0.647 0.365 0.061 1
O1 O 0.422 0.890 0.359 1
O2 O 0.578 0.110 0.641 1
O3 O 0.063 0.648 0.269 1
O4 O 0.922 0.110 0.141 1
O5 O 0.493 0.300 0.421 1
O6 O 0.610 0.075 0.869 1
O7 O 0.007 0.300 0.921 1
O8 O 0.563 0.352 0.231 1
O9 O 0.078 0.890 0.859 1
O10 O 0.890 0.075 0.369 1
O11 O 0.390 0.925 0.131 1
O12 O 0.937 0.352 0.731 1
O13 O 0.110 0.925 0.631 1
O14 O 0.437 0.648 0.769 1
O15 O 0.993 0.700 0.079 1
O16 O 0.507 0.700 0.579 1
# E_form (uncorrected)   -1.301 eV/atom
# Space group   P2_1/c (14)
# Crystal system   monoclinic
# Total DFT energy (no corrections)   -161.56 eV per cell
# V   19.9 Å³ per atom

=====

No. 8
# GGA-PBE KMoPb2, optimized geometry
data_KMoPb2
_cell_length_a 5.861
_cell_length_b 5.861
_cell_length_c 3.272
_cell_angle_alpha 90.00
_cell_angle_beta 90.00
_cell_angle_gamma 109.26
_symmetry_space_group_name_H-M 'P 1'
_symmetry_Int_Tables_number 1
_symmetry_space_group_name_Hall 'P 1'
loop_
_atom_site_label
_atom_site_type_symbol
_atom_site_fract_x
_atom_site_fract_y
_atom_site_fract_z
_atom_site_occupancy
K1 K 0.500 0.000 0.500 1
Mo1 Mo 0.000 0.500 0.500 1
Pb1 Pb 0.000 0.000 0.000 1
Pb2 Pb 0.500 0.500 0.000 1
# Space group   Cmmm (65)
# Crystal system   orthorhombic
# Energy of formation from the pure elements   3.182 eV per formula unit
# Total DFT energy (no corrections)   -16.16 eV per cell
# V   26.5 Å³ per atom

=====

> Number 8 is which compound?

KMoPb2

=====

> Which of these has the highest V?

La2Tb5Sm6

=====

> What is the V in the eighth record?

26.5 Å³ per atom

=====

Copy entry 8 word for word.
# GGA-PBE KMoPb2, optimized geometry
data_KMoPb2
_cell_length_a 5.861
_cell_length_b 5.861
_cell_length_c 3.272
_cell_angle_alpha 90.00
_cell_angle_beta 90.00
_cell_angle_gamma 109.26
_symmetry_space_group_name_H-M 'P 1'
_symmetry_Int_Tables_number 1
_symmetry_space_group_name_Hall 'P 1'
loop_
_atom_site_label
_atom_site_type_symbol
_atom_site_fract_x
_atom_site_fract_y
_atom_site_fract_z
_atom_site_occupancy
K1 K 0.500 0.000 0.500 1
Mo1 Mo 0.000 0.500 0.500 1
Pb1 Pb 0.000 0.000 0.000 1
Pb2 Pb 0.500 0.500 0.000 1
# Space group   Cmmm (65)
# Crystal system   orthorhombic
# Energy of formation from the pure elements   3.182 eV per formula unit
# Total DFT energy (no corrections)   -16.16 eV per cell
# V   26.5 Å³ per atom